Record 1
A plane-wave DFT calculation with PBE-GGA was carried out for a relaxed structure of Ce2Ni2SnRh5.

The energy of formation from the pure elements is -615 meV per atom. The uncorrected energy is -7.0345 eV per atom. Its mass density is 10.20 g/cm3. Its density of states at the Fermi level is 1.0457 states/eV per atom.

Lattice parameters (Å, degrees): 9.2507 9.2507 3.9220 90.00 90.00 90.00
Space group P4/mbm (No. 127)
Inequivalent atoms, fractional coordinates:
Ce 0.1727 0.3273 0.0000 [4 per cell]
Ni 0.1235 0.6235 0.0000 [4 per cell]
Sn 0.0000 0.0000 0.0000 [2 per cell]
Rh 0.0000 0.5000 0.5000 [2 per cell]
Rh 0.0738 0.7907 0.5000 [8 per cell]

***

Record 2
A plane-wave DFT calculation with PBE-GGA was carried out for a relaxed structure of CeThNiRh.

The energy of formation from the pure elements is -465 meV per atom. The value obtained for the energy above the lowest structure with this stoichiometry is 0.571 eV/f.u. The uncorrected energy is -7.0867 eV per atom. Its mass density is 10.35 g/cm3. Its density of states at the Fermi level is 1.9688 states/eV per atom.

Lattice parameters (Å, degrees): 6.9973 6.9973 6.9973 90.00 90.00 90.00
Space group F-43m (No. 216)
Inequivalent atoms, fractional coordinates:
Ce 0.0000 0.0000 0.0000 [4 per cell]
Th 0.0000 0.0000 0.5000 [4 per cell]
Ni 0.2500 0.2500 0.2500 [4 per cell]
Rh 0.2500 0.2500 0.7500 [4 per cell]